# 1
A plane-wave DFT calculation with PBE-GGA was carried out for a geometry-optimized BaMg11Au structure.

Cell lengths 5.7182, 14.8797, 7.8983 Å; angles 90.00, 109.23, 90.00 degrees
Closest atoms and distances in Å follow each position.
Space group C2/m (No. 12)
Unique sites:
Ba1 0.0000 0.0000 0.0000  18 Mg 3.68-3.99, 2 Au 4.04
Mg1 0.0000 0.0000 0.5000  2 Au 2.86, 8 Mg 3.02-3.12
Mg2 0.1000 0.3926 0.2297  1 Au 2.87, 5 Mg 3.02-3.20
Mg3 0.1758 0.1755 0.3609  8 Mg 3.04-3.38, 1 Au 3.18
Mg4 0.2500 0.2500 0.0000  6 Mg 2.86-3.09
Au1 0.0000 0.5000 0.5000  10 Mg 2.86-3.18

Computed properties:
For the formation energy, the calculation gives -192.0 kJ/mol of formula units.

***

# 2
A plane-wave DFT calculation with PBE-GGA was carried out for a geometry-optimized Ba3Mg4Au4 structure.

Cell lengths 4.5128, 8.5321, 15.9139 Å; angles 90.00, 90.00, 90.00 degrees
Closest atoms and distances in Å follow each position.
Space group Immm (No. 71)
Unique sites:
Ba1 0.0000 0.0000 0.0000  6 Au 3.34-3.56
Ba2 0.0000 0.5000 0.1181  6 Au 3.38-3.45, 6 Mg 3.61-3.62, 1 Ba 3.76
Mg1 0.0000 0.3114 0.3214  4 Au 2.86-3.08
Au1 0.0000 0.0000 0.2237  6 Mg 2.86-3.08
Au2 0.0000 0.2118 0.5000  2 Mg 2.97

Computed properties:
As for the energy above the most stable polymorph in this dataset: 0.00 eV per formula unit. For the formation energy, the calculation gives -615.1 kJ/mol of formula units.

***

# 3
A plane-wave DFT calculation with PBE-GGA was carried out for a geometry-optimized BaMg5Au3 structure.

Cell lengths 4.4770, 14.3972, 13.5654 Å; angles 90.00, 90.00, 90.00 degrees
Closest atoms and distances in Å follow each position.
Space group Cmcm (No. 63)
Unique sites:
Ba1 0.0000 0.1626 0.2500  7 Au 3.61-4.02, 4 Mg 3.96
Mg1 0.0000 0.0000 0.0000  4 Au 2.86, 6 Mg 2.97-3.09
Mg2 0.0000 0.1984 0.5600  4 Au 2.69-2.93, 1 Mg 2.97
Mg3 0.0000 0.4421 0.1442  4 Au 2.73-2.82, 1 Mg 2.87
Au1 0.0000 0.1164 0.7500  6 Mg 2.79-2.84
Au2 0.0000 0.3848 0.5477  7 Mg 2.69-2.93

Computed properties:
For the formation energy, the calculation gives -449.3 kJ/mol of formula units.

***

# 4
A plane-wave DFT calculation with PBE-GGA was carried out for a geometry-optimized BaNa2MgAu4 structure.

Cell lengths 4.8677, 4.8677, 28.3290 Å; angles 90.00, 90.00, 120.00 degrees
Closest atoms and distances in Å follow each position.
Space group R-3m (No. 166, hexagonal axes)
Unique sites:
Ba1 0.0000 0.0000 0.0000  8 Au 3.40-3.80
Na1 0.0000 0.0000 0.2382  7 Au 2.92-3.02
Mg1 0.0000 0.0000 0.5000  8 Au 2.82-2.96
Au1 0.0000 0.0000 0.1341  4 Na 2.95-3.02, 3 Mg 2.96
Au2 0.0000 0.0000 0.4006  1 Mg 2.82, 3 Na 2.92

Computed properties:
For the formation energy, the calculation gives -350.7 kJ/mol of formula units.

***

# 5
A plane-wave DFT calculation with PBE-GGA was carried out for a geometry-optimized BaNa2MgAu structure.

Cell lengths 5.6977, 5.6977, 5.3149 Å; angles 90.00, 90.00, 90.00 degrees
Closest atoms and distances in Å follow each position.
Space group P4/mmm (No. 123)
Unique sites:
Ba1 0.0000 0.0000 0.0000  8 Na 3.90, 4 Mg 4.03
Na1 0.0000 0.5000 0.5000  2 Au 2.85
Mg1 0.5000 0.5000 0.0000  2 Au 2.66
Au1 0.5000 0.5000 0.5000  2 Mg 2.66, 4 Na 2.85

Computed properties:
For the formation energy, the calculation gives -68.0 kJ/mol of formula units.

***

# 6
A plane-wave DFT calculation with PBE-GGA was carried out for a geometry-optimized Ba2MgAuO4 structure.

Cell lengths 6.3729, 6.3729, 6.9050 Å; angles 90.00, 90.00, 90.00 degrees
Closest atoms and distances in Å follow each position.
Space group I-4 (No. 82)
Unique sites:
Ba1 0.0000 0.0000 0.0000  8 O 2.81-3.11
Ba2 0.0000 0.5000 0.2500  4 O 2.59
Mg1 0.0000 0.0000 0.5000  4 O 2.02
Au1 0.0000 0.5000 0.7500  4 O 2.22
O1 0.1589 0.2027 0.6698  1 Mg 2.02, 1 Au 2.22

Computed properties:
For the formation energy from raw total energies, the calculation gives -1.773 eV/atom.

***

# 7
A plane-wave DFT calculation with PBE-GGA was carried out for a geometry-optimized BaMgOsAu2 structure.

Cell lengths 5.2268, 5.2268, 5.4334 Å; angles 90.00, 90.00, 90.00 degrees
Closest atoms and distances in Å follow each position.
Space group P4/mmm (No. 123)
Unique sites:
Ba1 0.0000 0.0000 0.0000  2 Os 2.72
Mg1 0.5000 0.5000 0.0000  4 Ba 3.70, 8 Au 3.77
Os1 0.0000 0.0000 0.5000  4 Au 2.61, 2 Ba 2.72
Au1 0.0000 0.5000 0.5000  2 Os 2.61

Computed properties:
For the formation energy, the calculation gives 325.8 kJ/mol of formula units.

***

# 8
A plane-wave DFT calculation with PBE-GGA was carried out for a geometry-optimized Ba2MgPdAu structure.

Cell lengths 4.5850, 4.5850, 15.8107 Å; angles 90.00, 90.00, 90.00 degrees
Closest atoms and distances in Å follow each position.
Space group P4/nmm (No. 129, origin choice 2)
Unique sites:
Ba1 0.2500 0.2500 0.0979  5 Pd 3.25-3.27
Ba2 0.2500 0.2500 0.6930  1 Pd 3.14
Mg1 0.2500 0.7500 0.5000  4 Au 2.80
Pd1 0.2500 0.2500 0.8913  6 Ba 3.14-3.27
Au1 0.2500 0.2500 0.3980  4 Mg 2.80

Computed properties:
For the formation energy, the calculation gives -255.7 kJ/mol of formula units.

***

# 9
A plane-wave DFT calculation with PBE-GGA was carried out for a geometry-optimized BaMgPdAu structure.

Cell lengths 4.6625, 4.6625, 16.9257 Å; angles 90.00, 90.00, 120.00 degrees
Closest atoms and distances in Å follow each position.
Space group R3m (No. 160, hexagonal axes)
Unique sites:
Ba1 0.0000 0.0000 0.0000  4 Pd 3.39-3.51, 4 Au 3.42-3.49
Mg1 0.0000 0.0000 0.5051  3 Pd 2.73, 3 Au 2.78
Pd1 0.0000 0.0000 0.2003  3 Mg 2.73, 3 Au 2.93
Au1 0.0000 0.0000 0.7980  3 Mg 2.78, 3 Pd 2.93

Computed properties:
For the formation energy, the calculation gives -247.4 kJ/mol of formula units.

***

# 10
A plane-wave DFT calculation with PBE-GGA was carried out for a geometry-optimized BaPmMg2Au4 structure.

Cell lengths 4.7581, 4.7581, 30.5905 Å; angles 90.00, 90.00, 120.00 degrees
Closest atoms and distances in Å follow each position.
Space group R-3m (No. 166, hexagonal axes)
Unique sites:
Ba1 0.0000 0.0000 0.0000  8 Au 3.45-3.53
Pm1 0.0000 0.0000 0.5000  8 Au 3.01-3.16
Mg1 0.0000 0.0000 0.2403  6 Au 2.83-2.85
Au1 0.0000 0.0000 0.1153  3 Mg 2.83, 3 Au 3.10, 3 Pm 3.16
Au2 0.0000 0.0000 0.4017  3 Mg 2.85, 1 Pm 3.01, 3 Au 3.10

Computed properties:
For the formation energy, the calculation gives -530.8 kJ/mol of formula units.

***

# 11
A plane-wave DFT calculation with PBE-GGA was carried out for a geometry-optimized RbBa2MgAu structure.

Cell lengths 6.3753, 6.3753, 6.5574 Å; angles 90.00, 90.00, 90.00 degrees
Closest atoms and distances in Å follow each position.
Space group P4/mmm (No. 123)
Unique sites:
Rb1 0.0000 0.0000 0.0000  2 Au 3.28
Ba1 0.0000 0.5000 0.5000  2 Au 3.19
Mg1 0.5000 0.5000 0.0000  4 Rb 4.51, 8 Ba 4.57
Au1 0.0000 0.0000 0.5000  4 Ba 3.19, 2 Rb 3.28

Computed properties:
As for the energy above the most stable polymorph in this dataset: 0.58 eV per formula unit. For the formation energy, the calculation gives -43.6 kJ/mol of formula units.

***

# 12
A plane-wave DFT calculation with PBE-GGA was carried out for a geometry-optimized RbBa2MgAu structure.

Cell lengths 6.5620, 6.5620, 5.4869 Å; angles 90.00, 90.00, 90.00 degrees
Closest atoms and distances in Å follow each position.
Space group P4/mmm (No. 123)
Unique sites:
Rb1 0.0000 0.0000 0.0000  8 Ba 4.28, 4 Mg 4.64
Ba1 0.0000 0.5000 0.5000  2 Au 3.28
Mg1 0.5000 0.5000 0.0000  2 Au 2.74
Au1 0.5000 0.5000 0.5000  2 Mg 2.74

Computed properties:
As for the energy above the most stable polymorph in this dataset: 0.00 eV per formula unit. For the formation energy, the calculation gives -99.8 kJ/mol of formula units.

***

# 13
A plane-wave DFT calculation with PBE-GGA was carried out for a geometry-optimized Ba2MgSb4Au3 structure.

Cell lengths 4.8784, 4.8784, 11.7774 Å; angles 90.00, 90.00, 90.00 degrees
Closest atoms and distances in Å follow each position.
Space group P-4m2 (No. 115)
Unique sites:
Ba1 0.0000 0.5000 0.2450  6 Au 3.70-3.87, 8 Sb 3.72-3.78, 2 Mg 3.87
Mg1 0.0000 0.0000 0.5000  4 Sb 2.92
Sb1 0.0000 0.0000 0.0000  4 Au 2.89
Sb2 0.0000 0.5000 0.6358  3 Au 2.75-2.92, 2 Mg 2.92
Sb3 0.5000 0.5000 0.0000  4 Au 2.89
Au1 0.0000 0.5000 0.8692  5 Sb 2.75-2.89
Au2 0.5000 0.5000 0.5000  4 Sb 2.92

Computed properties:
For the formation energy from raw total energies, the calculation gives -0.642 eV/atom.

***

# 14
A plane-wave DFT calculation with PBE-GGA was carried out for a geometry-optimized Ba2MgSbAu6 structure.

Cell lengths 13.8018, 5.6548, 9.6909 Å; angles 90.00, 134.50, 90.00 degrees
Closest atoms and distances in Å follow each position.
Space group C2/m (No. 12)
Unique sites:
Ba1 0.2390 0.0000 0.1957  6 Au 3.39-3.53, 2 Sb 3.70
Mg1 0.0000 0.0000 0.5000  6 Au 2.70-2.81
Sb1 0.0000 0.5000 0.0000  6 Au 2.90-2.91
Au1 0.0065 0.2519 0.2699  1 Mg 2.70, 3 Au 2.81-2.87, 1 Sb 2.91
Au2 0.2450 0.0000 0.5954  1 Mg 2.81, 4 Au 2.87-3.03, 1 Sb 2.90

Computed properties:
For the formation energy from raw total energies, the calculation gives -0.520 eV/atom.

***

# 15
A plane-wave DFT calculation with PBE-GGA was carried out for a geometry-optimized Ba2MgSb3Au4 structure.

Cell lengths 4.7999, 4.7999, 11.6157 Å; angles 90.00, 90.00, 90.00 degrees
Closest atoms and distances in Å follow each position.
Space group P-4m2 (No. 115)
Unique sites:
Ba1 0.0000 0.5000 0.2360  6 Sb 3.60-3.89, 8 Au 3.64-3.74, 2 Mg 3.89
Mg1 0.0000 0.0000 0.5000  4 Au 2.83
Sb1 0.0000 0.5000 0.8676  5 Au 2.77-2.85
Sb2 0.5000 0.5000 0.5000  4 Au 2.83
Au1 0.0000 0.0000 0.0000  4 Sb 2.85
Au2 0.0000 0.5000 0.6288  3 Sb 2.77-2.83, 2 Mg 2.83
Au3 0.5000 0.5000 0.0000  4 Sb 2.85

Computed properties:
For the formation energy from raw total energies, the calculation gives -0.635 eV/atom.

***

# 16
A plane-wave DFT calculation with PBE-GGA was carried out for a geometry-optimized Ba2MgScAu6 structure.

Cell lengths 6.4950, 7.2831, 7.3051 Å; angles 73.37, 63.68, 63.66 degrees
Closest atoms and distances in Å follow each position.
Space group P-1 (No. 2)
Unique sites:
Ba1 0.2391 0.2065 0.3145  11 Au 3.52-3.87
Mg1 0.5000 0.5000 0.5000  6 Au 2.70-2.73
Sc1 0.0000 0.0000 0.0000  6 Au 2.71-2.73
Au1 0.2459 0.2623 0.7834  1 Sc 2.73, 1 Mg 2.73, 3 Au 2.88-3.00
Au2 0.2513 0.6133 0.8850  1 Mg 2.70, 1 Sc 2.71, 4 Au 2.88-2.97
Au3 0.2914 0.7379 0.2167  1 Sc 2.73, 1 Mg 2.73, 3 Au 2.88-3.00

Computed properties:
For the formation energy, the calculation gives -549.9 kJ/mol of formula units.

***

# 17
A plane-wave DFT calculation with PBE-GGA was carried out for a geometry-optimized Ba2MgSi3Au12 structure.

Cell lengths 8.9522, 8.9522, 19.5693 Å; angles 90.00, 90.00, 120.00 degrees
Closest atoms and distances in Å follow each position.
Space group R-3m (No. 166, hexagonal axes)
Unique sites:
Ba1 0.0000 0.0000 0.1104  9 Au 3.30-3.62
Mg1 0.0000 0.0000 0.5000  6 Au 2.62
Si1 0.0000 0.5000 0.0000  6 Au 2.45-2.46
Au1 0.0126 0.5063 0.1249  1 Si 2.45, 1 Mg 2.62
Au2 0.0347 0.5174 0.3372  2 Si 2.46

Computed properties:
For the formation energy from raw total energies, the calculation gives -0.184 eV/atom.

***

# 18
A plane-wave DFT calculation with PBE-GGA was carried out for a geometry-optimized BaMgSi2Au5 structure.

Cell lengths 4.7012, 4.7012, 9.4382 Å; angles 90.00, 90.00, 90.00 degrees
Closest atoms and distances in Å follow each position.
Space group P4/mmm (No. 123)
Unique sites:
Ba1 0.0000 0.0000 0.0000  4 Au 3.32
Mg1 0.0000 0.0000 0.5000  8 Au 2.82
Si1 0.5000 0.5000 0.2558  5 Au 2.41-2.46
Au1 0.0000 0.5000 0.3345  2 Si 2.46
Au2 0.5000 0.5000 0.0000  2 Si 2.41

Computed properties:
For the formation energy from raw total energies, the calculation gives -0.404 eV/atom.

***

# 19
A plane-wave DFT calculation with PBE-GGA was carried out for a geometry-optimized Ba2MgSi3Au4 structure.

Cell lengths 4.5958, 4.5958, 10.6319 Å; angles 90.00, 90.00, 90.00 degrees
Closest atoms and distances in Å follow each position.
Space group P-4m2 (No. 115)
Unique sites:
Ba1 0.0000 0.5000 0.2440  8 Au 3.47-3.50, 6 Si 3.50-3.56, 2 Mg 3.56
Mg1 0.0000 0.0000 0.5000  4 Au 2.70
Si1 0.0000 0.5000 0.8774  5 Au 2.60-2.64
Si2 0.5000 0.5000 0.5000  4 Au 2.70
Au1 0.0000 0.0000 0.0000  4 Si 2.64
Au2 0.0000 0.5000 0.6325  3 Si 2.60-2.70, 2 Mg 2.70
Au3 0.5000 0.5000 0.0000  4 Si 2.64

Computed properties:
For the formation energy from raw total energies, the calculation gives -0.490 eV/atom.

***

# 20
A plane-wave DFT calculation with PBE-GGA was carried out for a geometry-optimized BaSmMg2Au4 structure.

Cell lengths 4.7565, 4.7565, 30.4831 Å; angles 90.00, 90.00, 120.00 degrees
Closest atoms and distances in Å follow each position.
Space group R-3m (No. 166, hexagonal axes)
Unique sites:
Ba1 0.0000 0.0000 0.0000  8 Au 3.45-3.54
Sm1 0.0000 0.0000 0.5000  8 Au 2.99-3.15
Mg1 0.0000 0.0000 0.2398  6 Au 2.83-2.85
Au1 0.0000 0.0000 0.1161  3 Mg 2.83, 3 Au 3.10, 3 Sm 3.15
Au2 0.0000 0.0000 0.4019  3 Mg 2.85, 1 Sm 2.99, 3 Au 3.10

Computed properties:
For the formation energy, the calculation gives -531.1 kJ/mol of formula units.

***

# 21
A plane-wave DFT calculation with PBE-GGA was carried out for a geometry-optimized BaMgSnAu6 structure.

Cell lengths 7.1638, 9.1948, 14.7595 Å; angles 90.00, 90.00, 90.00 degrees
Closest atoms and distances in Å follow each position.
Space group Imma (No. 74)
Unique sites:
Ba1 0.0000 0.2500 0.1052  7 Au 3.25-3.59
Mg1 0.2500 0.2500 0.7500  6 Au 2.61-2.63
Sn1 0.0000 0.0000 0.5000  6 Au 2.76-2.90
Au1 0.0000 0.2500 0.3798  4 Au 2.88, 2 Sn 2.90
Au2 0.0000 0.2500 0.8808  2 Mg 2.63
Au3 0.2112 0.0106 0.6563  1 Mg 2.61, 1 Sn 2.76, 2 Au 2.82-2.88

Computed properties:
For the formation energy, the calculation gives -169.1 kJ/mol of formula units.

***

# 22
A plane-wave DFT calculation with PBE-GGA was carried out for a geometry-optimized Ba2MgSn3Au4 structure.

Cell lengths 4.8672, 4.8672, 11.2417 Å; angles 90.00, 90.00, 90.00 degrees
Closest atoms and distances in Å follow each position.
Space group P-4m2 (No. 115)
Unique sites:
Ba1 0.0000 0.5000 0.2398  8 Au 3.63-3.76, 6 Sn 3.66-3.80, 2 Mg 3.80
Mg1 0.0000 0.0000 0.5000  4 Au 2.81
Sn1 0.0000 0.5000 0.8719  5 Au 2.78-2.83
Sn2 0.5000 0.5000 0.5000  4 Au 2.81
Au1 0.0000 0.0000 0.0000  4 Sn 2.83
Au2 0.0000 0.5000 0.6244  3 Sn 2.78-2.81, 2 Mg 2.81
Au3 0.5000 0.5000 0.0000  4 Sn 2.83

Computed properties:
For the formation energy, the calculation gives -599.1 kJ/mol of formula units.

***

# 23
A plane-wave DFT calculation with PBE-GGA was carried out for a geometry-optimized BaMg2Sn2Au2 structure.

Cell lengths 4.7230, 4.7230, 27.8118 Å; angles 90.00, 90.00, 120.00 degrees
Closest atoms and distances in Å follow each position.
Space group R-3m (No. 166, hexagonal axes)
Unique sites:
Ba1 0.0000 0.0000 0.0000  6 Sn 3.57, 2 Mg 3.86
Mg1 0.0000 0.0000 0.1387  3 Au 2.85, 4 Sn 3.11-3.14, 3 Mg 3.14
Sn1 0.0000 0.0000 0.2506  3 Au 2.82, 4 Mg 3.11-3.14
Au1 0.0000 0.0000 0.4421  3 Sn 2.82, 3 Mg 2.85

Computed properties:
For the formation energy, the calculation gives -367.1 kJ/mol of formula units.